DFT (PBE) results for a geometry-optimized Ca3Ge4 structure.

Calculated values
Magnetic moment, Bohr magnetons per cell: 0.00
E_form, meV/atom: -580
Energy relative to the lowest polymorph listed for this composition, eV per atom: 0.000

Geometry as CIF:
```
data_Ca3Ge4
_symmetry_space_group_name_H-M 'P 63/m'
_symmetry_Int_Tables_number 176
_symmetry_space_group_name_Hall '-P 6c'
_cell_length_a 8.7779
_cell_length_b 8.7779
_cell_length_c 15.2580
_cell_angle_alpha 90.00
_cell_angle_beta 90.00
_cell_angle_gamma 120.00
loop_
_atom_site_label
_atom_site_fract_x
_atom_site_fract_y
_atom_site_fract_z
Ca1 0.0000 0.0000 0.0000
Ca2 0.0000 0.0000 0.2500
Ca3 0.0907 0.6650 0.1003
Ca4 0.3333 0.6667 0.7500
Ge1 0.0560 0.3684 0.2500
Ge2 0.0893 0.7445 0.6036
Ge3 0.3333 0.6667 0.2500
Ge4 0.3333 0.6667 0.5514
```


DFT (PBE) results for a geometry-optimized PrAl2Cd9 structure.

Calculated values
Magnetic moment, Bohr magnetons per cell: 0.00
E_form, meV/atom: -54

Geometry as CIF:
```
data_PrAl2Cd9
_symmetry_space_group_name_H-M 'I 41/a m d'
_symmetry_Int_Tables_number 141
_cell_length_a 11.7705
_cell_length_b 11.7705
_cell_length_c 7.7928
_cell_angle_alpha 90.00
_cell_angle_beta 90.00
_cell_angle_gamma 90.00
loop_
_symmetry_equiv_pos_as_xyz
'x,y,z'
'-x,-y,-z'
'-y+1/4,x+3/4,z+1/4'
'y+1/4,-x+3/4,-z+1/4'
'-x+1/2,-y,z+1/2'
'x+1/2,y,-z+1/2'
'y+1/4,-x+1/4,z+3/4'
'-y+1/4,x+1/4,-z+3/4'
'x,-y,-z'
'-x,y,z'
'-y+1/4,-x+1/4,-z+3/4'
'y+1/4,x+1/4,z+3/4'
'-x+1/2,y,-z+1/2'
'x+1/2,-y,z+1/2'
'y+1/4,x+3/4,-z+1/4'
'-y+1/4,-x+3/4,z+1/4'
'x+1/2,y+1/2,z+1/2'
'-x+1/2,-y+1/2,-z+1/2'
'-y+3/4,x+1/4,z+3/4'
'y+3/4,-x+1/4,-z+3/4'
'-x,-y+1/2,z'
'x,y+1/2,-z'
'y+3/4,-x+3/4,z+1/4'
'-y+3/4,x+3/4,-z+1/4'
'x+1/2,-y+1/2,-z+1/2'
'-x+1/2,y+1/2,z+1/2'
'-y+3/4,-x+3/4,-z+1/4'
'y+3/4,x+3/4,z+1/4'
'-x,y+1/2,-z'
'x,-y+1/2,z'
'y+3/4,x+1/4,-z+3/4'
'-y+3/4,-x+1/4,z+3/4'
loop_
_atom_site_label
_atom_site_fract_x
_atom_site_fract_y
_atom_site_fract_z
Pr1 0.0000 0.2500 0.3750
Al1 0.0000 0.0000 0.0000
Cd1 0.0000 0.2500 0.8750
Cd2 0.1211 0.0523 0.6712
```


DFT (PBE) results for a geometry-optimized SmHoSi2 structure.

Calculated values
Magnetic moment, Bohr magnetons per cell: 0.00
Energy relative to the lowest polymorph listed for this composition, eV per atom: 0.000

Geometry as CIF:
```
data_SmHoSi2
_symmetry_space_group_name_H-M 'A m m 2'
_symmetry_Int_Tables_number 38
_cell_length_a 3.8626
_cell_length_b 4.3317
_cell_length_c 10.6494
_cell_angle_alpha 90.00
_cell_angle_beta 90.00
_cell_angle_gamma 90.00
loop_
_symmetry_equiv_pos_as_xyz
'x,y,z'
'-x,-y,z'
'-x,y,z'
'x,-y,z'
'x,y+1/2,z+1/2'
'-x,-y+1/2,z+1/2'
'-x,y+1/2,z+1/2'
'x,-y+1/2,z+1/2'
loop_
_atom_site_label
_atom_site_fract_x
_atom_site_fract_y
_atom_site_fract_z
Sm1 0.0000 0.0000 0.0000
Ho1 0.5000 0.0000 0.2802
Si1 0.0000 0.0000 0.7168
Si2 0.5000 0.0000 0.5668
```


DFT (PBE) results for a geometry-optimized Rh3Pb4 structure.

Calculated values
Magnetic moment, Bohr magnetons per cell: 0.00
E_form, meV/atom: -21
Energy relative to the lowest polymorph listed for this composition, eV per atom: 0.000

Geometry as CIF:
```
data_Rh3Pb4
_symmetry_space_group_name_H-M 'C 1 2/m 1'
_symmetry_Int_Tables_number 12
_cell_length_a 14.1458
_cell_length_b 3.6634
_cell_length_c 6.7708
_cell_angle_alpha 90.00
_cell_angle_beta 116.38
_cell_angle_gamma 90.00
loop_
_symmetry_equiv_pos_as_xyz
'x,y,z'
'-x,-y,-z'
'-x,y,-z'
'x,-y,z'
'x+1/2,y+1/2,z'
'-x+1/2,-y+1/2,-z'
'-x+1/2,y+1/2,-z'
'x+1/2,-y+1/2,z'
loop_
_atom_site_label
_atom_site_fract_x
_atom_site_fract_y
_atom_site_fract_z
Rh1 0.0000 0.0000 0.0000
Rh2 0.2489 0.0000 0.2975
Pb1 0.1008 0.0000 0.4561
Pb2 0.1384 0.5000 0.9587
```


DFT (PBE) results for a geometry-optimized Cs3In2Hg3 structure.

Calculated values
Magnetic moment, Bohr magnetons per cell: 0.00
E_form, meV/atom: -138

Geometry as CIF:
```
data_Cs3In2Hg3
_symmetry_space_group_name_H-M 'C m c m'
_symmetry_Int_Tables_number 63
_symmetry_space_group_name_Hall '-C 2c 2'
_cell_length_a 5.1976
_cell_length_b 16.0107
_cell_length_c 17.8692
_cell_angle_alpha 90.00
_cell_angle_beta 90.00
_cell_angle_gamma 90.00
loop_
_atom_site_label
_atom_site_fract_x
_atom_site_fract_y
_atom_site_fract_z
Cs1 0.0000 0.0651 0.2500
Cs2 0.0000 0.1456 0.0004
In1 0.0000 0.3208 0.1661
Hg1 0.0000 0.1954 0.7500
Hg2 0.0000 0.4920 0.0919
```


DFT (PBE) results for a geometry-optimized Y2InSe structure.

Calculated values
Magnetic moment, Bohr magnetons per cell: 0.00
Energy relative to the lowest polymorph listed for this composition, eV per atom: 0.336

Geometry as CIF:
```
data_Y2InSe
_symmetry_space_group_name_H-M 'I m m m'
_symmetry_Int_Tables_number 71
_symmetry_space_group_name_Hall '-I 2 2'
_cell_length_a 4.1627
_cell_length_b 5.9998
_cell_length_c 8.5816
_cell_angle_alpha 90.00
_cell_angle_beta 90.00
_cell_angle_gamma 90.00
loop_
_atom_site_label
_atom_site_fract_x
_atom_site_fract_y
_atom_site_fract_z
Y1 0.0000 0.0000 0.2262
In1 0.0000 0.5000 0.0000
Se1 0.0000 0.5000 0.5000
```


DFT (PBE) results for a geometry-optimized TaN2 structure.

Calculated values
Magnetic moment, Bohr magnetons per cell: 2.45
E, eV/cell: -56.60

Geometry as CIF:
```
data_TaN2
_symmetry_space_group_name_H-M 'P 6/m m m'
_symmetry_Int_Tables_number 191
_symmetry_space_group_name_Hall '-P 6 2'
_cell_length_a 5.4709
_cell_length_b 5.4709
_cell_length_c 2.7983
_cell_angle_alpha 90.00
_cell_angle_beta 90.00
_cell_angle_gamma 120.00
loop_
_atom_site_label
_atom_site_fract_x
_atom_site_fract_y
_atom_site_fract_z
Ta1 0.3333 0.6667 0.0000
N1 0.0000 0.0000 0.5000
N2 0.0000 0.5000 0.5000
```


DFT (PBE) results for a geometry-optimized ScFeMo2 structure.

Calculated values
Magnetic moment, Bohr magnetons per cell: 0.00
E_form, meV/atom: 330
Energy relative to the lowest polymorph listed for this composition, eV per atom: 0.264

Geometry as CIF:
```
data_ScFeMo2
_symmetry_space_group_name_H-M 'F m -3 m'
_symmetry_Int_Tables_number 225
_symmetry_space_group_name_Hall '-F 4 2 3'
_cell_length_a 6.2180
_cell_length_b 6.2180
_cell_length_c 6.2180
_cell_angle_alpha 90.00
_cell_angle_beta 90.00
_cell_angle_gamma 90.00
loop_
_atom_site_label
_atom_site_fract_x
_atom_site_fract_y
_atom_site_fract_z
Sc1 0.0000 0.0000 0.0000
Fe1 0.0000 0.0000 0.5000
Mo1 0.2500 0.2500 0.2500
```


DFT (PBE) results for a geometry-optimized HgRuPb2 structure.

Calculated values
Magnetic moment, Bohr magnetons per cell: 0.00
E_form, meV/atom: 295

Geometry as CIF:
```
data_HgRuPb2
_symmetry_space_group_name_H-M 'I m m 2'
_symmetry_Int_Tables_number 44
_cell_length_a 3.1728
_cell_length_b 4.5725
_cell_length_c 13.8212
_cell_angle_alpha 90.00
_cell_angle_beta 90.00
_cell_angle_gamma 90.00
loop_
_symmetry_equiv_pos_as_xyz
'x,y,z'
'-x,-y,z'
'-x,y,z'
'x,-y,z'
'x+1/2,y+1/2,z+1/2'
'-x+1/2,-y+1/2,z+1/2'
'-x+1/2,y+1/2,z+1/2'
'x+1/2,-y+1/2,z+1/2'
loop_
_atom_site_label
_atom_site_fract_x
_atom_site_fract_y
_atom_site_fract_z
Hg1 0.0000 0.0000 0.0000
Ru1 0.0000 0.5000 0.6822
Pb1 0.0000 0.0000 0.3637
Pb2 0.0000 0.5000 0.1768
```


DFT (PBE) results for a geometry-optimized CoSbCl2 structure.

Calculated values
Magnetic moment, Bohr magnetons per cell: 1.72
Energy relative to the lowest polymorph listed for this composition, eV per atom: 0.251

Geometry as CIF:
```
data_CoSbCl2
_symmetry_space_group_name_H-M 'P 4 m m'
_symmetry_Int_Tables_number 99
_cell_length_a 3.2344
_cell_length_b 3.2344
_cell_length_c 8.2907
_cell_angle_alpha 90.00
_cell_angle_beta 90.00
_cell_angle_gamma 90.00
loop_
_symmetry_equiv_pos_as_xyz
'x,y,z'
'-y,x,z'
'-x,-y,z'
'y,-x,z'
'-x,y,z'
'y,x,z'
'x,-y,z'
'-y,-x,z'
loop_
_atom_site_label
_atom_site_fract_x
_atom_site_fract_y
_atom_site_fract_z
Co1 0.0000 0.0000 0.0000
Sb1 0.5000 0.5000 0.2063
Cl1 0.0000 0.0000 0.4431
Cl2 0.5000 0.5000 0.8549
```


DFT (PBE) results for a geometry-optimized BaTe3Au structure.

Calculated values
Magnetic moment, Bohr magnetons per cell: 0.00
Energy relative to the lowest polymorph listed for this composition, eV per atom: 0.000

Geometry as CIF:
```
data_BaTe3Au
_symmetry_space_group_name_H-M 'R -3 c'
_symmetry_Int_Tables_number 167
_symmetry_space_group_name_Hall '-R 3 2"c'
_cell_length_a 8.6456
_cell_length_b 8.6456
_cell_length_c 15.0715
_cell_angle_alpha 90.00
_cell_angle_beta 90.00
_cell_angle_gamma 120.00
loop_
_atom_site_label
_atom_site_fract_x
_atom_site_fract_y
_atom_site_fract_z
Ba1 0.0000 0.0000 0.2500
Te1 0.0000 0.4117 0.2500
Au1 0.0000 0.0000 0.0000
```